{
  "formula": "Ca2BeGe2",
  "functional": "PBE",
  "state": "optimized geometry",
  "lattice": [[6.762, 0.000, 0.000], [0.000, 6.762, 0.000], [0.000, 0.000, 4.642]],
  "species": ["Ca", "Ca", "Ca", "Ca", "Be", "Be", "Ge", "Ge", "Ge", "Ge"],
  "frac_coords": [[0.170, 0.330, 0.000], [0.330, 0.830, 0.000], [0.670, 0.170, 0.000], [0.830, 0.670, 0.000], [0.000, 0.000, 0.500], [0.500, 0.500, 0.500], [0.139, 0.639, 0.500], [0.361, 0.139, 0.500], [0.639, 0.861, 0.500], [0.861, 0.361, 0.500]],
  "e_above_lowest_polymorph_mev_per_atom": 0
}